No. 1
TiAgF, relaxed, DFT GGA-PBE; E_form (uncorrected) = -1.263 eV per atom
1.0
-2.4774 1.4451 -0.0712
0.0075 -2.8052 0.6054
1.3772 3.0578 14.1510
F Ag Ti
2 2 2
Direct
0.5863 0.1725 0.2542 F
0.5863 0.1725 0.7458 F
0.4017 0.8033 0.5000 Ag
0.5862 0.1723 0.0000 Ag
0.2531 0.5063 0.8362 Ti
0.2531 0.5063 0.1638 Ti


No. 2
KYSe2Br, relaxed, DFT GGA-PBE; E_form (uncorrected) = -0.085 eV per atom; E above lowest polymorph = 1281 meV/atom
1.0
-3.8783 -2.5678 -2.9482
3.7620 -3.5812 -1.8299
-1.0443 -3.2415 4.1970
Se Br Y K
2 1 1 1
Direct
0.0000 0.5000 0.0000 Se
0.5000 0.0000 0.0000 Se
0.0000 0.0000 0.5000 Br
0.5000 0.5000 0.5000 Y
0.0000 0.0000 0.0000 K


No. 3
PmTl5S4, relaxed, DFT GGA-PBE; E_form (uncorrected) = -0.783 eV per atom
1.0
4.0617 0.0000 -0.8882
-0.4454 8.2917 -2.0368
-0.0501 -0.8052 9.5019
Tl S Pm
5 4 1
Direct
0.8426 0.1906 0.6852 Tl
0.8149 0.6934 0.6297 Tl
0.1851 0.3066 0.3703 Tl
0.1574 0.8094 0.3148 Tl
0.5000 0.5000 0.0000 Tl
0.3413 0.9531 0.6826 S
0.9765 0.7624 0.9531 S
0.0235 0.2376 0.0469 S
0.6587 0.0469 0.3174 S
0.5000 0.0000 0.0000 Pm


No. 4
CdTe, relaxed, DFT GGA-PBE; E_form (uncorrected) = -0.379 eV per atom
1.0
8.1462 0.0000 0.0000
0.0000 8.1462 0.0000
0.0000 0.0000 8.1462
Te Cd
6 6
Direct
0.0000 0.7500 0.5000 Te
0.0000 0.2500 0.5000 Te
0.5000 0.0000 0.2500 Te
0.2500 0.5000 0.0000 Te
0.7500 0.5000 0.0000 Te
0.5000 0.0000 0.7500 Te
0.5000 0.2500 0.0000 Cd
0.7500 0.0000 0.5000 Cd
0.0000 0.5000 0.2500 Cd
0.5000 0.7500 0.0000 Cd
0.0000 0.5000 0.7500 Cd
0.2500 0.0000 0.5000 Cd


No. 5
AcTh4Sn4, relaxed, DFT GGA-PBE; calculated formation energy = -0.24 eV/atom
1.0
-5.2291 1.3634 3.2518
-3.6187 -9.4659 -1.8503
4.4805 -3.3999 8.6306
Th Sn Ac
8 8 2
Direct
0.3975 0.6491 0.1051 Th
0.8975 0.3949 0.1491 Th
0.6025 0.8949 0.6491 Th
0.8975 0.6051 0.8509 Th
0.1025 0.8509 0.3949 Th
0.3975 0.3509 0.8949 Th
0.6025 0.1051 0.3509 Th
0.1025 0.1491 0.6051 Th
0.4060 0.6393 0.7905 Sn
0.4060 0.3607 0.2095 Sn
0.5940 0.2095 0.6393 Sn
0.9060 0.7095 0.1393 Sn
0.0940 0.8607 0.7095 Sn
0.9060 0.2905 0.8607 Sn
0.5940 0.7905 0.3607 Sn
0.0940 0.1393 0.2905 Sn
0.5000 0.5000 0.5000 Ac
0.0000 0.0000 0.0000 Ac


No. 6
ErTmPaSn, relaxed, DFT GGA-PBE; calculated formation energy = 0.02 eV/atom
1.0
-2.4948 3.0260 3.5544
-3.6924 -2.1136 3.1485
0.9729 -0.6346 5.1638
Er Pa Tm Sn
1 1 1 1
Direct
0.5000 0.5000 0.5000 Er
0.7500 0.7500 0.7500 Pa
0.0000 0.0000 0.0000 Tm
0.2500 0.2500 0.2500 Sn


Q: Which DFT total energy values were calculated for the entries above? A: -5.47; -3.33; -4.09; -2.41; -5.77; -5.61, in eV/atom.